[1]
The following is a DFT calculation (SCAN) of GaTeH3 at its PBEsol-relaxed geometry.

Space group = Pm-3m
Distance to the lowest polymorph of the same formula = 0.034 eV per atom

Cell lengths 3.7971, 3.7971, 3.7971 Å; angles 90.00, 90.00, 90.00 degrees
Atoms (fractional coordinates):
H (0.5000, 0.0000, 0.0000)
H (0.0000, 0.0000, 0.5000)
H (0.0000, 0.5000, 0.0000)
Te (0.5000, 0.5000, 0.5000)
Ga (0.0000, 0.0000, 0.0000)

[2]
The following is a DFT calculation (SCAN) of GaTe3H at its PBEsol-relaxed geometry.

Space group = Pm-3m
Final energy = -128.8 eV for the cell shown

Cell lengths 4.7524, 4.7524, 4.7524 Å; angles 90.00, 90.00, 90.00 degrees
Atoms (fractional coordinates):
Te (0.0000, 0.0000, 0.5000)
Te (0.5000, 0.0000, 0.0000)
Te (0.0000, 0.5000, 0.0000)
H (0.0000, 0.0000, 0.0000)
Ga (0.5000, 0.5000, 0.5000)

[3]
The following is a DFT calculation (SCAN) of GaTeH3 at its PBEsol-relaxed geometry.

Space group = Pm-3m
Distance to the lowest polymorph of the same formula = 0.000 eV per atom

Cell lengths 4.0426, 4.0426, 4.0426 Å; angles 90.00, 90.00, 90.00 degrees
Atoms (fractional coordinates):
Te (0.0000, 0.0000, 0.0000)
Ga (0.5000, 0.5000, 0.5000)
H (0.5000, 0.0000, 0.0000)
H (0.0000, 0.0000, 0.5000)
H (0.0000, 0.5000, 0.0000)

[4]
The following is a DFT calculation (SCAN) of TiGa3H at its PBEsol-relaxed geometry.

Space group = Pm-3m
Final energy = -63.5 eV for the cell shown

Cell lengths 5.0061, 5.0061, 5.0061 Å; angles 90.00, 90.00, 90.00 degrees
Last column: magnetic moment on the atom in μB.
Atoms (fractional coordinates):
Ti (0.0000, 0.0000, 0.0000)  1.49
Ga (0.0000, 0.5000, 0.0000)  0.14
Ga (0.0000, 0.0000, 0.5000)  0.14
Ga (0.5000, 0.0000, 0.0000)  0.14
H (0.5000, 0.5000, 0.5000)  0.33

[5]
The following is a DFT calculation (SCAN) of GaH2W2 at its PBEsol-relaxed geometry.

Space group = I4/mmm
Final energy = -161.1 eV for the cell shown

Cell lengths 3.1325, 3.1325, 5.5746 Å; angles 106.32, 106.32, 90.00 degrees
Atoms (fractional coordinates):
W (0.6490, 0.6490, 0.2980)
W (0.3510, 0.3510, 0.7020)
H (0.2500, 0.7500, 0.5000)
H (0.7500, 0.2500, 0.5000)
Ga (0.0000, 0.0000, 0.0000)

[6]
The following is a DFT calculation (SCAN) of ZnGa3H at its PBEsol-relaxed geometry.

Space group = Pm-3m
Final energy = -62.3 eV for the cell shown

Cell lengths 4.7379, 4.7379, 4.7379 Å; angles 90.00, 90.00, 90.00 degrees
Atoms (fractional coordinates):
H (0.5000, 0.5000, 0.5000)
Ga (0.5000, 0.0000, 0.0000)
Ga (0.0000, 0.5000, 0.0000)
Ga (0.0000, 0.0000, 0.5000)
Zn (0.0000, 0.0000, 0.0000)

[7]
The following is a DFT calculation (SCAN) of ZrGa2H at its PBEsol-relaxed geometry.

Space group = Fm-3m
Final energy = -64.9 eV for the cell shown

Cell lengths 4.4830, 4.4830, 4.4830 Å; angles 60.00, 60.00, 60.00 degrees
Atoms (fractional coordinates):
Ga (0.2500, 0.2500, 0.2500)
Ga (0.7500, 0.7500, 0.7500)
H (0.0000, 0.0000, 0.0000)
Zr (0.5000, 0.5000, 0.5000)

[8]
The following is a DFT calculation (SCAN) of HfGa at its PBEsol-relaxed geometry.

Space group = Pbcm
Energy relative to the elements = -1.21 eV/f.u.

Cell lengths 5.5747, 8.4328, 9.1034 Å; angles 90.00, 90.00, 90.00 degrees
Atoms (fractional coordinates):
Ga (0.7500, 0.1327, 0.3498)
Ga (0.2500, 0.3673, 0.3498)
Ga (0.5000, 0.2500, 0.5669)
Ga (0.2500, 0.9507, 0.0871)
Ga (0.2500, 0.8673, 0.6502)
Ga (0.2500, 0.4507, 0.9129)
Ga (0.0000, 0.2500, 0.5669)
Ga (0.7500, 0.0493, 0.9129)
Ga (0.7500, 0.5493, 0.0871)
Ga (0.5000, 0.7500, 0.4331)
Ga (0.0000, 0.7500, 0.4331)
Ga (0.7500, 0.6327, 0.6502)
Hf (0.7500, 0.4727, 0.3829)
Hf (0.5000, 0.2500, 0.1116)
Hf (0.0000, 0.7500, 0.8884)
Hf (0.7500, 0.3653, 0.8078)
Hf (0.2500, 0.1347, 0.8078)
Hf (0.2500, 0.0273, 0.3829)
Hf (0.0000, 0.2500, 0.1116)
Hf (0.5000, 0.7500, 0.8884)
Hf (0.7500, 0.9727, 0.6171)
Hf (0.2500, 0.5273, 0.6171)
Hf (0.7500, 0.8653, 0.1922)
Hf (0.2500, 0.6347, 0.1922)

[9]
The following is a DFT calculation (SCAN) of Hf2Ga at its PBEsol-relaxed geometry.

Space group = I4/mcm
Energy relative to the elements = -1.42 eV/f.u.

Cell lengths 5.2476, 5.3519, 5.3519 Å; angles 76.09, 60.64, 60.64 degrees
Atoms (fractional coordinates):
Ga (0.7500, 0.0000, 0.0000)
Ga (0.2500, 0.0000, 0.0000)
Hf (0.3460, 0.5000, 0.8080)
Hf (0.1540, 0.1920, 0.5000)
Hf (0.8460, 0.8080, 0.5000)
Hf (0.6540, 0.5000, 0.1920)

[10]
The following is a DFT calculation (SCAN) of Hf11Ga10 at its PBEsol-relaxed geometry.

Space group = I4/mmm
Energy relative to the elements = -12.33 eV/f.u.

Cell lengths 10.2182, 10.2542, 10.2182 Å; angles 60.12, 90.00, 119.88 degrees
Atoms (fractional coordinates):
Hf (0.5612, 0.6235, 0.1882)
Hf (0.7298, 0.7927, 0.6037)
Hf (0.8118, 0.6235, 0.9377)
Hf (0.0629, 0.7927, 0.6037)
Hf (0.9371, 0.2073, 0.3963)
Hf (0.6780, 0.3559, 0.3220)
Hf (0.6037, 0.2073, 0.7298)
Hf (0.8253, 0.0000, 0.1747)
Hf (0.1747, 0.0000, 0.8253)
Hf (0.8118, 0.6235, 0.4388)
Hf (0.2702, 0.2073, 0.3963)
Hf (0.1882, 0.3765, 0.0623)
Hf (0.6037, 0.2073, 0.0629)
Hf (0.3963, 0.7927, 0.9371)
Hf (0.1882, 0.3765, 0.5612)
Hf (0.0623, 0.6235, 0.1882)
Hf (0.4388, 0.3765, 0.8118)
Hf (0.1747, 0.0000, 0.1747)
Hf (0.3220, 0.6441, 0.6780)
Hf (0.3963, 0.7927, 0.2702)
Hf (0.8253, 0.0000, 0.8253)
Hf (0.9377, 0.3765, 0.8118)
Ga (0.6430, 0.0000, 0.0000)
Ga (0.7500, 0.5000, 0.7500)
Ga (0.4661, 0.3461, 0.5339)
Ga (0.1071, 0.2143, 0.8929)
Ga (0.3570, 0.0000, 0.0000)
Ga (0.5339, 0.6539, 0.8800)
Ga (0.0000, 0.0000, 0.6430)
Ga (0.4661, 0.3461, 0.1200)
Ga (0.1200, 0.6539, 0.4661)
Ga (0.6274, 0.0000, 0.3726)
Ga (0.3726, 0.0000, 0.6274)
Ga (0.3726, 0.0000, 0.3726)
Ga (0.8800, 0.3461, 0.1200)
Ga (0.1200, 0.6539, 0.8800)
Ga (0.8800, 0.3461, 0.5339)
Ga (0.5339, 0.6539, 0.4661)
Ga (0.6274, 0.0000, 0.6274)
Ga (0.2500, 0.5000, 0.2500)
Ga (0.8929, 0.7857, 0.1071)
Ga (0.0000, 0.0000, 0.3570)

[11]
The following is a DFT calculation (SCAN) of HfNbGa2I at its PBEsol-relaxed geometry.

Space group = P4/mmm
Final energy = -162.1 eV for the cell shown

Cell lengths 5.0579, 5.0579, 5.0625 Å; angles 90.00, 90.00, 90.00 degrees
Last column: magnetic moment on the atom in μB.
Atoms (fractional coordinates):
Hf (0.0000, 0.0000, 0.5000)  -0.01
Nb (0.0000, 0.0000, 0.0000)  0.51
Ga (0.0000, 0.5000, 0.0000)  0.04
Ga (0.5000, 0.0000, 0.0000)  0.04
I (0.5000, 0.5000, 0.5000)  0.07

[12]
The following is a DFT calculation (SCAN) of HfGaPI2 at its PBEsol-relaxed geometry.

Space group = P4/mmm
Final energy = -159.8 eV for the cell shown

Cell lengths 4.9058, 5.5272, 5.5272 Å; angles 90.00, 90.00, 90.00 degrees
Atoms (fractional coordinates):
Hf (0.5000, 0.0000, 0.0000)
I (0.0000, 0.0000, 0.5000)
I (0.0000, 0.5000, 0.0000)
Ga (0.5000, 0.5000, 0.5000)
P (0.0000, 0.0000, 0.0000)

[13]
The following is a DFT calculation (SCAN) of RbHfGa2Ir at its PBEsol-relaxed geometry.

Space group = P4/mmm
Energy relative to the elements = -0.05 eV/f.u.

Cell lengths 4.8748, 4.8748, 5.0875 Å; angles 90.00, 90.00, 90.00 degrees
Atoms (fractional coordinates):
Hf (0.0000, 0.0000, 0.5000)
Ga (0.0000, 0.5000, 0.0000)
Ga (0.5000, 0.0000, 0.0000)
Ir (0.0000, 0.0000, 0.0000)
Rb (0.5000, 0.5000, 0.5000)

[14]
The following is a DFT calculation (SCAN) of HfGaReIr2 at its PBEsol-relaxed geometry.

Space group = P4/mmm
Energy relative to the elements = 5.77 eV/f.u.

Cell lengths 4.7099, 4.7099, 4.9247 Å; angles 90.00, 90.00, 90.00 degrees
Atoms (fractional coordinates):
Ga (0.5000, 0.5000, 0.5000)
Ir (0.5000, 0.0000, 0.0000)
Ir (0.0000, 0.5000, 0.0000)
Re (0.0000, 0.0000, 0.0000)
Hf (0.0000, 0.0000, 0.5000)

[15]
The following is a DFT calculation (SCAN) of KNaHfGa2 at its PBEsol-relaxed geometry.

Space group = P4/mmm
Energy relative to the elements = 2.38 eV/f.u.

Cell lengths 5.2242, 5.2242, 5.9806 Å; angles 90.00, 90.00, 90.00 degrees
Atoms (fractional coordinates):
K (0.5000, 0.5000, 0.5000)
Hf (0.0000, 0.0000, 0.0000)
Na (0.0000, 0.0000, 0.5000)
Ga (0.0000, 0.5000, 0.0000)
Ga (0.5000, 0.0000, 0.0000)

[16]
The following is a DFT calculation (SCAN) of KHfGa2Tc at its PBEsol-relaxed geometry.

Space group = P4/mmm
Energy relative to the elements = 0.39 eV/f.u.

Cell lengths 4.8306, 4.9754, 4.9754 Å; angles 90.00, 90.00, 90.00 degrees
Atoms (fractional coordinates):
Ga (0.0000, 0.0000, 0.5000)
Ga (0.0000, 0.5000, 0.0000)
Tc (0.0000, 0.0000, 0.0000)
Hf (0.5000, 0.0000, 0.0000)
K (0.5000, 0.5000, 0.5000)

[17]
The following is a DFT calculation (SCAN) of RbLa2HfGa at its PBEsol-relaxed geometry.

Space group = P4/mmm
Energy relative to the elements = 1.91 eV/f.u.

Cell lengths 5.3953, 5.7130, 5.7130 Å; angles 90.00, 90.00, 90.00 degrees
Atoms (fractional coordinates):
Rb (0.5000, 0.5000, 0.5000)
Ga (0.5000, 0.0000, 0.0000)
Hf (0.0000, 0.0000, 0.0000)
La (0.0000, 0.5000, 0.0000)
La (0.0000, 0.0000, 0.5000)

[18]
The following is a DFT calculation (SCAN) of LaHfGa2Te at its PBEsol-relaxed geometry.

Space group = P4/mmm
Final energy = -170.0 eV for the cell shown

Cell lengths 5.4410, 5.4461, 5.4461 Å; angles 90.00, 90.00, 90.00 degrees
Atoms (fractional coordinates):
Hf (0.5000, 0.0000, 0.0000)
La (0.0000, 0.0000, 0.0000)
Ga (0.0000, 0.5000, 0.0000)
Ga (0.0000, 0.0000, 0.5000)
Te (0.5000, 0.5000, 0.5000)

[19]
The following is a DFT calculation (SCAN) of Hf2MgGaN at its PBEsol-relaxed geometry.

Space group = P4/mmm
Final energy = -150.3 eV for the cell shown

Cell lengths 3.5588, 5.1516, 5.1516 Å; angles 90.00, 90.00, 90.00 degrees
Atoms (fractional coordinates):
Mg (0.0000, 0.0000, 0.0000)
Hf (0.0000, 0.5000, 0.0000)
Hf (0.0000, 0.0000, 0.5000)
Ga (0.5000, 0.5000, 0.5000)
N (0.5000, 0.0000, 0.0000)

[20]
The following is a DFT calculation (SCAN) of HfMg2GaOs at its PBEsol-relaxed geometry.

Space group = P4/mmm
Energy relative to the elements = 3.24 eV/f.u.

Cell lengths 4.5810, 4.5810, 4.6607 Å; angles 90.00, 90.00, 90.00 degrees
Atoms (fractional coordinates):
Ga (0.0000, 0.0000, 0.0000)
Hf (0.5000, 0.5000, 0.5000)
Mg (0.5000, 0.0000, 0.0000)
Mg (0.0000, 0.5000, 0.0000)
Os (0.0000, 0.0000, 0.5000)

[21]
The following is a DFT calculation (SCAN) of Hf3MnGa at its PBEsol-relaxed geometry.

Space group = Pm-3m
Energy relative to the elements = 1.57 eV/f.u.

Cell lengths 4.6780, 4.6780, 4.6780 Å; angles 90.00, 90.00, 90.00 degrees
Atoms (fractional coordinates):
Hf (0.5000, 0.0000, 0.0000)
Hf (0.0000, 0.5000, 0.0000)
Hf (0.0000, 0.0000, 0.5000)
Ga (0.5000, 0.5000, 0.5000)
Mn (0.0000, 0.0000, 0.0000)

[22]
The following is a DFT calculation (SCAN) of HfZr2MnGa at its PBEsol-relaxed geometry.

Space group = P4/mmm
Energy relative to the elements = 2.25 eV/f.u.

Cell lengths 4.3841, 4.9821, 4.9821 Å; angles 90.00, 90.00, 90.00 degrees
Last column: magnetic moment on the atom in μB.
Atoms (fractional coordinates):
Zr (0.0000, 0.5000, 0.0000)  -0.50
Zr (0.0000, 0.0000, 0.5000)  -0.50
Mn (0.5000, 0.0000, 0.0000)  3.52
Hf (0.5000, 0.5000, 0.5000)  -0.93
Ga (0.0000, 0.0000, 0.0000)  -0.11

[23]
The following is a DFT calculation (SCAN) of Hf2Ga2Mo at its PBEsol-relaxed geometry.

Space group = P4/mbm
Energy relative to the elements = -2.50 eV/f.u.

Cell lengths 3.6381, 6.8650, 6.8650 Å; angles 90.00, 90.00, 90.00 degrees
Atoms (fractional coordinates):
Hf (0.5000, 0.8216, 0.3216)
Hf (0.5000, 0.3216, 0.1784)
Hf (0.5000, 0.1784, 0.6784)
Hf (0.5000, 0.6784, 0.8216)
Ga (0.0000, 0.3736, 0.8736)
Ga (0.0000, 0.6264, 0.1264)
Ga (0.0000, 0.1264, 0.3736)
Ga (0.0000, 0.8736, 0.6264)
Mo (0.0000, 0.5000, 0.5000)
Mo (0.0000, 0.0000, 0.0000)

[24]
The following is a DFT calculation (SCAN) of HfGa2Mo2 at its PBEsol-relaxed geometry.

Space group = P4/mbm
Energy relative to the elements = -1.66 eV/f.u.

Cell lengths 3.3839, 6.8418, 6.8418 Å; angles 90.00, 90.00, 90.00 degrees
Atoms (fractional coordinates):
Mo (0.5000, 0.6735, 0.8265)
Mo (0.5000, 0.1735, 0.6735)
Mo (0.5000, 0.8265, 0.3265)
Mo (0.5000, 0.3265, 0.1735)
Ga (0.0000, 0.6255, 0.1255)
Ga (0.0000, 0.8745, 0.6255)
Ga (0.0000, 0.3745, 0.8745)
Ga (0.0000, 0.1255, 0.3745)
Hf (0.0000, 0.5000, 0.5000)
Hf (0.0000, 0.0000, 0.0000)

[25]
The following is a DFT calculation (SCAN) of HfGaMo2S at its PBEsol-relaxed geometry.

Space group = P4/mmm
Final energy = -149.4 eV for the cell shown

Cell lengths 4.7736, 4.7736, 4.9594 Å; angles 90.00, 90.00, 90.00 degrees
Last column: magnetic moment on the atom in μB.
Atoms (fractional coordinates):
Hf (0.0000, 0.0000, 0.0000)  -0.06
Mo (0.5000, 0.0000, 0.0000)  1.24
Mo (0.0000, 0.5000, 0.0000)  1.24
Ga (0.0000, 0.0000, 0.5000)  0.01
S (0.5000, 0.5000, 0.5000)  -0.01